No. 1
Computed, not measured: a relaxed CaBeWC2 crystal at the PBE level of DFT.

abc: 4.164 5.183 4.164
angles: 90.00 90.00 90.00
Element x y z (fractional)
C: 0.500 0.000 0.000
C: 0.000 0.000 0.500
Ca: 0.000 0.000 0.000
W: 0.000 0.500 0.000
Be: 0.500 0.500 0.500

ΔE_f: 18.6 eV per formula unit

***

No. 2
Computed, not measured: a relaxed ZrAg2Cl crystal at the PBE level of DFT.

abc: 9.987 9.987 9.987
angles: 18.31 18.31 18.31
Element x y z (fractional)
Ag: 0.004 0.004 0.004
Ag: 0.261 0.261 0.261
Cl: 0.482 0.482 0.482
Zr: 0.753 0.753 0.753

ΔE_f (raw): -0.402 eV per atom
Offset from the most stable computed form: 0.000 eV/atom

***

No. 3
Computed, not measured: a relaxed Th2Si4Ni3Ru crystal at the PBE level of DFT.

abc: 4.075 4.075 9.723
angles: 90.00 90.00 90.00
Element x y z (fractional)
Si: 0.000 0.000 0.000
Si: 0.000 0.500 0.366
Si: 0.500 0.000 0.634
Si: 0.500 0.500 0.000
Th: 0.500 0.000 0.246
Th: 0.000 0.500 0.754
Ni: 0.000 0.000 0.500
Ni: 0.500 0.000 0.881
Ni: 0.000 0.500 0.119
Ru: 0.500 0.500 0.500

ΔE_f (raw): -0.873 eV per atom

***

no.,calculated volume (Å³ per atom),density of states at the Fermi level (states/eV/f.u.)
1,17.976,5.46
2,21.466,1.18
3,16.143,4.73